Entry 1:
Cs3Nb2AsSe11 at its PBEsol-relaxed geometry. Source: Alexandria, functional meta-GGA SCAN.

```
Cs3Nb2AsSe11
1.0
7.541 -6.925 0.000
7.541 6.925 0.000
-1.263 0.000 9.990
Cs Nb As Se
6 4 2 22
direct
0.072 0.928 0.500
0.179 0.323 0.664
0.323 0.179 0.164
0.526 0.681 0.266
0.681 0.526 0.766
0.928 0.072 0.000
0.068 0.683 0.086
0.429 0.961 0.775
0.683 0.068 0.586
0.961 0.429 0.275
0.286 0.638 0.821
0.638 0.286 0.321
0.042 0.217 0.331
0.058 0.582 0.476
0.063 0.726 0.832
0.187 0.541 0.287
0.190 0.864 0.164
0.217 0.042 0.831
0.259 0.503 0.009
0.396 0.770 0.593
0.421 0.985 0.517
0.444 0.774 0.938
0.503 0.259 0.509
0.541 0.187 0.787
0.582 0.058 0.976
0.704 0.890 0.755
0.726 0.063 0.332
0.757 0.822 0.533
0.770 0.396 0.093
0.774 0.444 0.438
0.822 0.757 0.033
0.864 0.190 0.664
0.890 0.704 0.255
0.985 0.421 0.017
```

Output
* uncorrected formation energy: -14.9 eV/f.u.
* crystal system: monoclinic
* final energy: -0.942 hartree per atom

=====

Entry 2:
K3ZrF at its PBEsol-relaxed geometry. Source: Alexandria, functional meta-GGA SCAN.

```
K3ZrF
1.0
6.646 0.000 0.000
0.000 6.646 0.000
0.000 0.000 6.646
K Zr F
3 1 1
direct
0.000 0.000 0.500
0.000 0.500 0.000
0.500 0.000 0.000
0.000 0.000 0.000
0.500 0.500 0.500
```

Output
* uncorrected formation energy: 2.6 eV/f.u.
* N(E_F): 1.150 states/eV per atom
* crystal system: cubic
* final energy: -0.416 hartree per atom

=====

Entry 3:
CuSiBr2 at its PBEsol-relaxed geometry. Source: Alexandria, functional meta-GGA SCAN.

```
CuSiBr2
1.0
-3.528 3.528 3.376
3.528 -3.528 3.376
3.528 3.528 -3.376
Cu Si Br
2 2 4
direct
0.000 0.000 0.000
0.750 0.250 0.500
0.250 0.750 0.500
0.500 0.500 0.000
0.087 0.125 0.462
0.375 0.913 0.038
0.663 0.625 0.538
0.875 0.337 0.962
```

Output
* uncorrected formation energy: 1.5 eV/f.u.
* N(E_F): 0.262 states/eV per atom
* crystal system: tetragonal
* final energy: -0.575 hartree per atom

=====

Entry 4:
Be2ZnCdOs at its PBEsol-relaxed geometry. Source: Alexandria, functional meta-GGA SCAN.

```
Be2ZnCdOs
1.0
4.224 0.000 0.000
0.000 4.224 0.000
0.000 0.000 5.077
Be Zn Cd Os
2 1 1 1
direct
0.000 0.500 0.000
0.500 0.000 0.000
0.000 0.000 0.500
0.500 0.500 0.500
0.500 0.500 0.000
```

Output
* DFT formation energy: 0.909 eV/atom
* N(E_F): 0.500 states/eV per atom
* crystal system: tetragonal
* final energy: -0.882 hartree per atom

=====

Entry 5:
BaMg2Pt at its PBEsol-relaxed geometry. Source: Alexandria, functional meta-GGA SCAN.

```
BaMg2Pt
1.0
3.065 -5.729 0.000
3.065 5.729 0.000
-2.298 0.000 3.015
Ba Mg Pt
1 2 1
direct
0.000 0.000 0.000
0.000 0.500 0.500
0.500 0.000 0.500
0.500 0.500 0.000
```

Output
* DFT formation energy: -0.024 eV/atom
* N(E_F): 0.413 states/eV per atom
* crystal system: monoclinic
* final energy: -1.101 hartree per atom

=====

Entry 6:
ReHgAu at its PBEsol-relaxed geometry. Source: Alexandria, functional meta-GGA SCAN.

```
ReHgAu
1.0
4.691 0.000 0.000
-2.346 4.063 0.000
0.000 0.000 2.697
Re Hg Au
1 1 1
direct
0.000 0.000 0.000
0.667 0.333 0.407
0.333 0.667 0.576
```

Output
* DFT formation energy: 0.990 eV/atom
* energy relative to the lowest polymorph listed for this composition: 317 meV/atom
* N(E_F): 0.692 states/eV per atom
* crystal system: trigonal
* final energy: -2.517 hartree per atom

=====

Entry 7:
Li2MgCuF at its PBEsol-relaxed geometry. Source: Alexandria, functional meta-GGA SCAN.

```
Li2MgCuF
1.0
5.065 0.000 0.000
0.000 5.065 0.000
0.000 0.000 3.760
Li Mg Cu F
2 1 1 1
direct
0.000 0.500 0.000
0.500 0.000 0.000
0.000 0.000 0.500
0.500 0.500 0.000
0.500 0.500 0.500
```

Output
* uncorrected formation energy: -1.2 eV/f.u.
* N(E_F): 0.414 states/eV per atom
* crystal system: tetragonal
* final energy: -0.218 hartree per atom

=====

Entry 8:
Ca3BiB at its PBEsol-relaxed geometry. Source: Alexandria, functional meta-GGA SCAN.

```
Ca3BiB
1.0
5.858 0.000 0.000
0.000 5.858 0.000
0.000 0.000 5.858
Ca Bi B
3 1 1
direct
0.000 0.000 0.500
0.000 0.500 0.000
0.500 0.000 0.000
0.000 0.000 0.000
0.500 0.500 0.500
```

Output
* DFT formation energy: 0.700 eV/atom
* N(E_F): 0.603 states/eV per atom
* crystal system: cubic
* final energy: -0.819 hartree per atom

=====

Entry 9:
LaSi2Mo2 at its PBEsol-relaxed geometry. Source: Alexandria, functional meta-GGA SCAN.

```
LaSi2Mo2
1.0
-2.303 2.303 4.510
2.303 -2.303 4.510
2.303 2.303 -4.510
La Si Mo
1 2 2
direct
0.000 0.000 0.000
0.250 0.750 0.500
0.750 0.250 0.500
0.375 0.375 0.000
0.625 0.625 0.000
```

Output
* uncorrected formation energy: -0.7 eV/f.u.
* N(E_F): 0.713 states/eV per atom
* crystal system: tetragonal
* final energy: -0.982 hartree per atom

=====

Entry 10:
K2NaTaAu at its PBEsol-relaxed geometry. Source: Alexandria, functional meta-GGA SCAN.

```
K2NaTaAu
1.0
6.190 0.000 0.000
0.000 6.190 0.000
0.000 0.000 5.129
K Na Ta Au
2 1 1 1
direct
0.000 0.500 0.000
0.500 0.000 0.000
0.000 0.000 0.500
0.500 0.500 0.500
0.500 0.500 0.000
```

Output
* DFT formation energy: 0.740 eV/atom
* N(E_F): 0.884 states/eV per atom
* crystal system: tetragonal
* final energy: -1.124 hartree per atom

=====

Entry 11:
CoMo2As at its PBEsol-relaxed geometry. Source: Alexandria, functional meta-GGA SCAN.

```
CoMo2As
1.0
0.000 3.023 3.023
3.023 0.000 3.023
3.023 3.023 0.000
Co Mo As
1 2 1
direct
0.000 0.000 0.000
0.250 0.250 0.250
0.500 0.500 0.500
0.750 0.750 0.750
```

Output
* DFT formation energy: 0.177 eV/atom
* N(E_F): 0.393 states/eV per atom
* crystal system: cubic
* final energy: -0.979 hartree per atom

=====

Entry 12:
Y2PtSCl at its PBEsol-relaxed geometry. Source: Alexandria, functional meta-GGA SCAN.

```
Y2PtSCl
1.0
5.323 0.000 0.000
0.000 5.323 0.000
0.000 0.000 4.692
Y Pt S Cl
2 1 1 1
direct
0.000 0.500 0.000
0.500 0.000 0.000
0.000 0.000 0.000
0.000 0.000 0.500
0.500 0.500 0.500
```

Output
* uncorrected formation energy: -4.2 eV/f.u.
* N(E_F): 0.530 states/eV per atom
* crystal system: tetragonal
* final energy: -1.086 hartree per atom

=====

Entry 13:
CdPN2O at its PBEsol-relaxed geometry. Source: Alexandria, functional meta-GGA SCAN.

```
CdPN2O
1.0
3.350 0.000 0.000
0.000 3.350 0.000
0.000 0.000 4.303
Cd P N O
1 1 2 1
direct
0.000 0.000 0.000
0.500 0.500 0.500
0.000 0.500 0.500
0.500 0.000 0.500
0.500 0.500 0.000
```

Output
* uncorrected formation energy: 0.5 eV/f.u.
* N(E_F): 0.273 states/eV per atom
* crystal system: tetragonal
* final energy: -0.479 hartree per atom

=====

Entry 14:
Cs4Sb2O5 at its PBEsol-relaxed geometry. Source: Alexandria, functional meta-GGA SCAN.

```
Cs4Sb2O5
1.0
5.278 -3.453 0.000
5.278 3.453 0.000
-1.284 0.000 8.026
Cs Sb O
4 2 5
direct
0.000 0.000 0.000
0.009 0.009 0.510
0.332 0.332 0.351
0.665 0.665 0.646
0.362 0.362 0.838
0.654 0.654 0.181
0.163 0.594 0.692
0.365 0.799 0.283
0.547 0.547 0.953
0.594 0.163 0.692
0.799 0.365 0.283
```

Output
* uncorrected formation energy: -18.1 eV/f.u.
* N(E_F): 0.000 states/eV per atom
* crystal system: monoclinic
* final energy: -0.919 hartree per atom

=====

Entry 15:
BaMnSb3 at its PBEsol-relaxed geometry. Source: Alexandria, functional meta-GGA SCAN.

```
BaMnSb3
1.0
6.021 0.000 0.000
0.000 6.021 0.000
0.000 0.000 6.021
Ba Mn Sb
1 1 3
direct
0.000 0.000 0.000
0.500 0.500 0.500
0.000 0.000 0.500
0.000 0.500 0.000
0.500 0.000 0.000
```

Output
* uncorrected formation energy: 6.0 eV/f.u.
* energy relative to the lowest polymorph listed for this composition: 1576 meV/atom
* N(E_F): 0.724 states/eV per atom
* crystal system: cubic
* final energy: -1.202 hartree per atom

=====

Entry 16:
SnO at its PBEsol-relaxed geometry. Source: Alexandria, functional meta-GGA SCAN.

```
SnO
1.0
3.805 0.000 0.000
0.000 3.805 0.000
0.000 0.000 4.732
Sn O
2 2
direct
0.250 0.250 0.244
0.750 0.750 0.756
0.250 0.750 0.000
0.750 0.250 0.000
```

Output
* uncorrected formation energy: -2.6 eV/f.u.
* N(E_F): 0.043 states/eV per atom
* crystal system: tetragonal
* final energy: -0.823 hartree per atom

=====

Entry 17:
SrBeTlAs2 at its PBEsol-relaxed geometry. Source: Alexandria, functional meta-GGA SCAN.

```
SrBeTlAs2
1.0
5.448 0.000 0.000
0.000 5.448 0.000
0.000 0.000 4.468
Sr Be Tl As
1 1 1 2
direct
0.000 0.000 0.000
0.500 0.500 0.000
0.500 0.500 0.500
0.000 0.500 0.500
0.500 0.000 0.500
```

Output
* DFT formation energy: 0.263 eV/atom
* N(E_F): 0.587 states/eV per atom
* crystal system: tetragonal
* final energy: -1.015 hartree per atom

=====

Entry 18:
Zn2CrCo at its PBEsol-relaxed geometry. Source: Alexandria, functional meta-GGA SCAN.

```
Zn2CrCo
1.0
2.586 0.000 0.000
0.000 2.586 0.000
0.000 0.000 7.114
Zn Cr Co
2 1 1
direct
0.000 0.000 0.000
0.500 0.500 0.283
0.500 0.500 0.736
0.000 0.000 0.527
```

Output
* DFT formation energy: 0.100 eV/atom
* energy relative to the lowest polymorph listed for this composition: 0 meV/atom
* N(E_F): 0.565 states/eV per atom
* crystal system: tetragonal
* final energy: -0.573 hartree per atom

=====

Entry 19:
LiNi2S3O12 at its PBEsol-relaxed geometry. Source: Alexandria, functional meta-GGA SCAN.

```
LiNi2S3O12
1.0
4.229 2.442 6.831
-4.229 2.442 6.831
0.000 -4.883 6.831
Li Ni S O
2 4 6 24
direct
0.000 0.000 0.000
0.500 0.500 0.500
0.143 0.143 0.143
0.357 0.357 0.357
0.643 0.643 0.643
0.857 0.857 0.857
0.046 0.750 0.454
0.250 0.546 0.954
0.454 0.046 0.750
0.546 0.954 0.250
0.750 0.454 0.046
0.954 0.250 0.546
0.009 0.815 0.606
0.061 0.909 0.263
0.091 0.737 0.939
0.106 0.315 0.509
0.185 0.394 0.991
0.237 0.591 0.439
0.263 0.061 0.909
0.315 0.509 0.106
0.394 0.991 0.185
0.409 0.561 0.763
0.439 0.237 0.591
0.491 0.894 0.685
0.509 0.106 0.315
0.561 0.763 0.409
0.591 0.439 0.237
0.606 0.009 0.815
0.685 0.491 0.894
0.737 0.939 0.091
0.763 0.409 0.561
0.815 0.606 0.009
0.894 0.685 0.491
0.909 0.263 0.061
0.939 0.091 0.737
0.991 0.185 0.394
```

Output
* uncorrected formation energy: -28.0 eV/f.u.
* energy relative to the lowest polymorph listed for this composition: 5 meV/atom
* N(E_F): 0.632 states/eV per atom
* crystal system: trigonal
* final energy: -0.340 hartree per atom

=====

Entry 20:
SrNi2P at its PBEsol-relaxed geometry. Source: Alexandria, functional meta-GGA SCAN.

```
SrNi2P
1.0
3.403 -1.955 0.000
3.403 1.955 0.000
-2.252 0.000 5.188
Sr Ni P
1 2 1
direct
0.000 0.000 0.000
0.192 0.192 0.574
0.489 0.489 0.470
0.807 0.807 0.423
```

Output
* DFT formation energy: -0.571 eV/atom
* N(E_F): 0.452 states/eV per atom
* crystal system: monoclinic
* final energy: -0.618 hartree per atom